[1]
The following is a DFT calculation (PBE-GGA) of a relaxed ZrIn2SbPd crystal.

The structure belongs to space group P4/mmm (No. 123); the cell edges are 5.464, 5.464 and 5.386 Å and the angles 90.00°, 90.00° and 90.00°. The distinct sites, in fractional coordinates, are Zr at (0.000, 0.000, 0.000), In at (0.000, 0.500, 0.500), Sb at (0.000, 0.000, 0.500) and Pd at (0.500, 0.500, 0.000).

For the uncorrected formation energy, the calculation gives 0.910 eV per atom. Its total magnetic moment is 0.69 μB per cell. Its total energy is -3.758 eV per atom.

[2]
The following is a DFT calculation (PBE-GGA) of a relaxed Li2FeNi crystal.

The structure belongs to space group Cmmm (No. 65); the cell edges are 4.793, 8.385 and 2.442 Å and the angles 90.00°, 90.00° and 90.00°. The distinct sites, in fractional coordinates, are Li at (0.250, 0.250, 0.000), Fe at (0.000, 0.000, 0.500) and Ni at (0.000, 0.500, 0.500).

The formation energy is 0.200 eV/atom. Its total magnetic moment is 5.55 μB per cell. Its total energy is -4.318 eV per atom.

[3]
The following is a DFT calculation (PBE-GGA) of a relaxed LaCuSeN2 crystal.

The structure belongs to space group P4/mmm (No. 123); the cell edges are 4.054, 4.054 and 6.546 Å and the angles 90.00°, 90.00° and 90.00°. The distinct sites, in fractional coordinates, are La at (0.000, 0.000, 0.000), Cu at (0.500, 0.500, 0.500), Se at (0.000, 0.000, 0.500) and N at (0.000, 0.500, 0.000).

The energy above the most stable polymorph in this dataset comes out at 14.52 kcal/mol of atoms. For the uncorrected formation energy, the calculation gives 0.952 eV per atom. Its total magnetic moment is 0.00 μB per cell. Its total energy is -4.879 eV per atom.

[4]
The following is a DFT calculation (PBE-GGA) of a relaxed BaSr2Li crystal.

The structure belongs to space group C2/m (No. 12); the cell edges are 7.997, 13.324 and 4.099 Å and the angles 90.00°, 112.70° and 90.00°. The distinct sites, in fractional coordinates, are Ba at (0.000, 0.000, 0.000), Sr at (0.250, 0.250, 0.500) and Li at (0.000, 0.500, 0.000).

The formation energy is 0.105 eV/atom. The energy above the most stable polymorph in this dataset comes out at 1.99 kcal/mol of atoms. Its total magnetic moment is 0.00 μB per cell. Its total energy is -1.696 eV per atom.

[5]
The following is a DFT calculation (PBE-GGA) of a relaxed HgN2Cl4 crystal.

The structure belongs to space group P-1 (No. 2); the cell edges are 4.711, 7.413 and 7.665 Å and the angles 115.74°, 90.58° and 105.86°. The distinct sites, in fractional coordinates, are Hg at (0.000, 0.000, 0.000), N at (0.404, 0.778, 0.093), Cl at (0.102, 0.235, 0.329) and Cl at (0.377, 0.715, 0.268).

For the uncorrected formation energy, the calculation gives 0.609 eV per atom. Its total magnetic moment is 4.00 μB per cell. Its total energy is -2.868 eV per atom.

[6]
The following is a DFT calculation (PBE-GGA) of a relaxed NaZn2Hg2 crystal.

The structure belongs to space group P4/mbm (No. 127); the cell edges are 7.895, 7.895 and 3.482 Å and the angles 90.00°, 90.00° and 90.00°. The distinct sites, in fractional coordinates, are Na at (0.000, 0.000, 0.000), Zn at (0.116, 0.384, 0.000) and Hg at (0.185, 0.685, 0.500).

The formation energy is -0.032 eV/atom. The energy above the most stable polymorph in this dataset comes out at 0.22 kcal/mol of atoms. Its total magnetic moment is 0.00 μB per cell. Its total energy is -0.926 eV per atom.